# 1
# MnSi2

MnSi2 after structural relaxation (PBE, Alexandria).

Properties
Calculated volume   165.5 Å³/cell
E_form (uncorrected)   35.6 kJ per mole of atoms

The structure in extended XYZ format:
```
12
Lattice="-4.4440 -2.3514 1.1877 3.0660 -1.9692 -3.6621 3.3917 -3.9130 4.9438" Properties=species:S:1:pos:R:3 pbc="T T T"
Si 2.2094 -6.0594 1.4641
Si 2.8463 -4.0622 2.6079
Si -0.1957 -2.1742 1.0053
Si 0.0000 0.0000 0.0000
Si 1.6959 -1.9565 2.4719
Si -2.2499 -3.2611 1.5544
Si -0.8327 -4.1714 -0.1384
Si 4.2636 -4.9725 0.9151
Mn 0.7725 -2.3387 -1.7396
Mn 2.0487 -3.8110 0.1206
Mn -0.0350 -4.4226 2.3489
Mn 1.2412 -5.8949 4.2091
```

# 2
# Pa2MnB3Ir12

Pa2MnB3Ir12 after structural relaxation (PBE, Alexandria).

Properties
Calculated volume   286.4 Å³/cell
Formation energy   -0.81 kcal/mol of atoms

The structure in extended XYZ format:
```
18
Lattice="6.9229 -0.5722 -0.4059 2.9213 6.3024 -0.4059 2.9213 1.7004 6.0822" Properties=species:S:1:pos:R:3 pbc="T T T"
Pa 5.1492 2.9973 2.1259
Pa 7.6163 4.4333 3.1445
Ir 6.9697 1.3341 3.8313
Ir 3.2234 4.0280 0.5771
Ir 9.5421 5.5543 1.6597
Ir 6.9697 4.0569 -0.0075
Ir 4.6021 5.4016 3.8313
Ir 5.7959 6.0965 1.4392
Ir 9.5421 3.4026 4.6933
Ir 3.2234 1.8763 3.6107
Ir 5.7959 3.3737 5.2779
Ir 5.0944 0.8137 0.5771
Ir 7.6711 6.6169 4.6933
Ir 8.1634 2.0290 1.4392
Mn 0.0000 0.0000 0.0000
B 1.4607 0.8502 3.0411
B 3.4614 -0.2861 -0.2029
B 1.4607 3.1512 -0.2029
```

# 3
# Ba2TlHg

Ba2TlHg after structural relaxation (PBE, Alexandria).

Properties
Calculated volume   153.5 Å³/cell
Formation energy   -10.92 kcal/mol of atoms

The structure in extended XYZ format:
```
4
Lattice="6.0101 0.0000 0.0000 3.0051 5.2049 0.0000 3.0051 1.7350 4.9072" Properties=species:S:1:pos:R:3 pbc="T T T"
Tl 9.0152 5.2049 3.6804
Ba 6.0101 3.4699 2.4536
Ba 0.0000 0.0000 0.0000
Hg 3.0051 1.7350 1.2268
```

# 4
# KBa4Ac3Se8

KBa4Ac3Se8 after structural relaxation (PBE, Alexandria).

Properties
Calculated volume   554.0 Å³/cell
E_form (uncorrected)   -186.4 kJ per mole of atoms

The structure in extended XYZ format:
```
16
Lattice="-0.6468 4.4221 8.0515 -8.4154 2.9940 -2.3205 1.8769 -9.0143 -0.1644" Properties=species:S:1:pos:R:3 pbc="T T T"
Se -4.5082 -5.5724 0.1469
Se -2.3638 1.8317 1.5187
Se -5.4187 -1.2065 0.2273
Se -1.7667 -0.3917 5.3393
Se -5.7386 1.0800 4.2119
Se -4.8215 -3.4299 4.0479
Se -1.4468 -2.6781 1.3547
Se -2.6772 3.9742 5.4197
K -4.2077 1.4970 -1.1602
Ba 0.9384 -4.5072 -0.0822
Ba 0.0000 0.0000 0.0000
Ba -0.3234 2.2111 4.0257
Ba 0.6150 -2.2961 3.9435
Ac -3.2693 -3.0101 -1.2424
Ac -4.5311 3.7081 2.8655
Ac -3.5927 -0.7991 2.7833
```